# SnW4AuN2 | OQMD | PBE | relaxed
data_SnW4AuN2
_chemical_formula_sum 'Sn1 W4 Au1 N2'
_cell_length_a 2.906
_cell_length_b 2.906
_cell_length_c 15.278
_cell_angle_alpha 90.00
_cell_angle_beta 90.00
_cell_angle_gamma 120.00
_space_group_name_H-M_alt 'P 1'
_space_group_IT_number 1
loop_
_space_group_symop_operation_xyz
'x,y,z'
loop_
_atom_site_label
_atom_site_type_symbol
_atom_site_fract_x
_atom_site_fract_y
_atom_site_fract_z
Sn1 Sn 0.000 0.000 0.000
W1 W 0.000 0.000 0.343
W2 W 0.000 0.000 0.657
W3 W 0.333 0.667 0.158
W4 W 0.333 0.667 0.842
Au1 Au 0.333 0.667 0.500
N1 N 0.667 0.333 0.250
N2 N 0.667 0.333 0.750
# Crystal system: hexagonal
# Energy in eV/atom: -9.1188

***

# Zr4SnAuN2 | OQMD | PBE | relaxed
data_Zr4SnAuN2
_chemical_formula_sum 'Zr4 Sn1 Au1 N2'
_cell_length_a 3.315
_cell_length_b 3.315
_cell_length_c 14.325
_cell_angle_alpha 90.00
_cell_angle_beta 90.00
_cell_angle_gamma 120.00
_space_group_name_H-M_alt 'P 1'
_space_group_IT_number 1
loop_
_space_group_symop_operation_xyz
'x,y,z'
loop_
_atom_site_label
_atom_site_type_symbol
_atom_site_fract_x
_atom_site_fract_y
_atom_site_fract_z
Zr1 Zr 0.000 0.000 0.157
Zr2 Zr 0.000 0.000 0.843
Zr3 Zr 0.667 0.333 0.332
Zr4 Zr 0.667 0.333 0.668
Sn1 Sn 0.000 0.000 0.500
Au1 Au 0.667 0.333 0.000
N1 N 0.333 0.667 0.242
N2 N 0.333 0.667 0.758
# Crystal system: hexagonal
# Energy in eV/atom: -8.3573

***

# Sr4TlAuN2 | OQMD | PBE | relaxed
data_Sr4TlAuN2
_chemical_formula_sum 'Sr4 Tl1 Au1 N2'
_cell_length_a 5.347
_cell_length_b 10.123
_cell_length_c 10.123
_cell_angle_alpha 21.46
_cell_angle_beta 90.00
_cell_angle_gamma 90.00
_space_group_name_H-M_alt 'P 1'
_space_group_IT_number 1
loop_
_space_group_symop_operation_xyz
'x,y,z'
loop_
_atom_site_label
_atom_site_type_symbol
_atom_site_fract_x
_atom_site_fract_y
_atom_site_fract_z
Sr1 Sr 0.000 0.000 0.000
Sr2 Sr 0.000 0.176 0.176
Sr3 Sr 0.500 0.393 0.393
Sr4 Sr 0.500 0.569 0.569
Tl1 Tl 0.000 0.821 0.821
Au1 Au 0.500 0.751 0.751
N1 N 0.000 0.589 0.589
N2 N 0.500 0.980 0.980
# Crystal system: orthorhombic
# Energy in eV/atom: -4.1697

***

# Ta2AuN | OQMD | PBE | relaxed
data_Ta2AuN
_chemical_formula_sum 'Ta12 Au6 N6'
_cell_length_a 5.498
_cell_length_b 5.498
_cell_length_c 13.879
_cell_angle_alpha 101.46
_cell_angle_beta 101.46
_cell_angle_gamma 59.98
_space_group_name_H-M_alt 'P 1'
_space_group_IT_number 1
loop_
_space_group_symop_operation_xyz
'x,y,z'
loop_
_atom_site_label
_atom_site_type_symbol
_atom_site_fract_x
_atom_site_fract_y
_atom_site_fract_z
Ta1 Ta 0.029 0.862 0.585
Ta2 Ta 0.138 0.971 0.915
Ta3 Ta 0.195 0.362 0.085
Ta4 Ta 0.305 0.471 0.415
Ta5 Ta 0.362 0.195 0.585
Ta6 Ta 0.471 0.305 0.915
Ta7 Ta 0.529 0.695 0.085
Ta8 Ta 0.638 0.805 0.415
Ta9 Ta 0.695 0.529 0.585
Ta10 Ta 0.805 0.638 0.915
Ta11 Ta 0.862 0.029 0.085
Ta12 Ta 0.971 0.138 0.415
Au1 Au 0.083 0.252 0.750
Au2 Au 0.252 0.083 0.250
Au3 Au 0.418 0.582 0.750
Au4 Au 0.582 0.418 0.250
Au5 Au 0.748 0.917 0.750
Au6 Au 0.917 0.748 0.250
N1 N 0.000 0.500 0.500
N2 N 0.166 0.667 0.000
N3 N 0.333 0.834 0.500
N4 N 0.500 0.000 0.000
N5 N 0.667 0.166 0.500
N6 N 0.834 0.333 0.000
# Crystal system: monoclinic
# Energy in eV/atom: -9.3836

***

# Ta2AuN | OQMD | PBE | relaxed
data_Ta2AuN
_chemical_formula_sum 'Ta4 Au2 N2'
_cell_length_a 3.175
_cell_length_b 3.175
_cell_length_c 13.512
_cell_angle_alpha 90.00
_cell_angle_beta 90.00
_cell_angle_gamma 120.00
_space_group_name_H-M_alt 'P 1'
_space_group_IT_number 1
loop_
_space_group_symop_operation_xyz
'x,y,z'
loop_
_atom_site_label
_atom_site_type_symbol
_atom_site_fract_x
_atom_site_fract_y
_atom_site_fract_z
Ta1 Ta 0.333 0.667 0.085
Ta2 Ta 0.333 0.667 0.415
Ta3 Ta 0.667 0.333 0.585
Ta4 Ta 0.667 0.333 0.915
Au1 Au 0.333 0.667 0.750
Au2 Au 0.667 0.333 0.250
N1 N 0.000 0.000 0.000
N2 N 0.000 0.000 0.500
# Crystal system: hexagonal
# Energy in eV/atom: -9.3840

***

# Ta3AuN2 | OQMD | PBE | relaxed
data_Ta3AuN2
_chemical_formula_sum 'Ta6 Au2 N4'
_cell_length_a 3.105
_cell_length_b 3.105
_cell_length_c 19.100
_cell_angle_alpha 90.00
_cell_angle_beta 90.00
_cell_angle_gamma 120.00
_space_group_name_H-M_alt 'P 1'
_space_group_IT_number 1
loop_
_space_group_symop_operation_xyz
'x,y,z'
loop_
_atom_site_label
_atom_site_type_symbol
_atom_site_fract_x
_atom_site_fract_y
_atom_site_fract_z
Ta1 Ta 0.000 0.000 0.000
Ta2 Ta 0.000 0.000 0.500
Ta3 Ta 0.333 0.667 0.131
Ta4 Ta 0.333 0.667 0.369
Ta5 Ta 0.667 0.333 0.631
Ta6 Ta 0.667 0.333 0.869
Au1 Au 0.000 0.000 0.250
Au2 Au 0.000 0.000 0.750
N1 N 0.333 0.667 0.567
N2 N 0.333 0.667 0.933
N3 N 0.667 0.333 0.067
N4 N 0.667 0.333 0.433
# Crystal system: hexagonal
# Energy in eV/atom: -9.8613